Below is a geometry-optimized Gd3In3PtAu2 structure, with properties calculated at the GGA-PBE level.

Calculated values
* M_tot: 0.0 μB per formula unit
* mass density: 11.2 g/cm3
* DFT total energy: -42.3 eV/cell

Lattice parameters (Å, degrees): 7.760 7.760 3.990 90.00 90.00 120.00
Fractional coordinates of all 9 atoms:
Gd1 0.000 0.402 0.000
Gd2 0.402 0.000 0.000
Gd3 0.598 0.598 0.000
In1 0.000 0.745 0.500
In2 0.255 0.255 0.500
In3 0.745 0.000 0.500
Pt1 0.000 0.000 0.000
Au1 0.333 0.667 0.500
Au2 0.667 0.333 0.500